No. 1
Here is GdZrTe after structural relaxation from Alexandria via LeMat-Bulk. Energies are from GGA-PBE.

a = 4.981 Å, b = 4.981 Å, c = 3.800 Å
α = 90.00°, β = 90.00°, γ = 120.00°
Fractional positions:
Gd 0.000 0.000 0.000
Zr 0.667 0.333 0.500
Te 0.333 0.667 0.500

Values from the calculation:
Formation energy from raw total energies (kcal/mol of atoms): -8.6
Total magnetic moment (Bohr magnetons per cell): 7.3
Calculated density (g/cm³): 7.65

No. 2
Here is Gd2Th after structural relaxation from Alexandria via LeMat-Bulk. Energies are from GGA-PBE.

a = 7.955 Å, b = 7.955 Å, c = 7.955 Å
α = 153.91°, β = 153.91°, γ = 37.24°
Fractional positions:
Gd 0.159 0.159 0.000
Gd 0.841 0.841 0.000
Th 0.500 0.500 0.000

Values from the calculation:
E above lowest polymorph (eV/atom): 0.000
Total magnetic moment (Bohr magnetons per cell): 14.6
DFT formation energy (eV per atom): 0.023
Calculated density (g/cm³): 9.33

No. 3
Here is Gd3Th after structural relaxation from Alexandria via LeMat-Bulk. Energies are from GGA-PBE.

a = 6.198 Å, b = 6.198 Å, c = 6.198 Å
α = 131.81°, β = 131.81°, γ = 70.53°
Fractional positions:
Gd 0.000 0.000 0.000
Gd 0.250 0.750 0.500
Gd 0.750 0.250 0.500
Th 0.500 0.500 0.000

Values from the calculation:
E above lowest polymorph (eV/atom): 0.009
Total magnetic moment (Bohr magnetons per cell): 22.0
DFT formation energy (eV per atom): 0.058
Calculated density (g/cm³): 9.02

| no. | density of states at the Fermi level (states/eV per cell) |
| --- | --- |
| 1 | 3.8 |
| 2 | 4.0 |
| 3 | 6.7 |